Below is an optimized crystal structure of TaAg2Mo, with properties calculated at the PBE level.

Unit cell a=3.583 b=3.583 c=5.434 alpha=90.00 beta=90.00 gamma=90.00
Space group P4/mmm (No. 123)
One atom of each set of equivalent atoms:
Ta1 0.000 0.000 0.000
Ag1 0.500 0.500 0.252
Mo1 0.000 0.000 0.500

Values from the calculation:
M_tot = 0.000 μB/atom
D(E_F) = 3.8 states/eV/cell
offset from the most stable computed form = 482 meV per atom
DFT formation energy = 2.69 eV per formula unit